Entry 1:
Computed, not measured: an optimized crystal structure of Rb4HfNp3Te8 at the PBE-GGA level of DFT.

Geometry as POSCAR:
```
Rb4HfNp3Te8
1.0
4.492 2.594 8.580
-4.492 2.594 8.580
0.000 -5.187 8.580
Rb Hf Np Te
4 1 3 8
direct
0.000 0.000 0.000 Rb
0.000 0.500 0.500 Rb
0.500 0.000 0.500 Rb
0.500 0.500 0.000 Rb
0.500 0.500 0.500 Hf
0.000 0.000 0.500 Np
0.000 0.500 0.000 Np
0.500 0.000 0.000 Np
0.235 0.235 0.235 Te
0.251 0.723 0.723 Te
0.277 0.277 0.749 Te
0.277 0.749 0.277 Te
0.723 0.251 0.723 Te
0.723 0.723 0.251 Te
0.749 0.277 0.277 Te
0.765 0.765 0.765 Te
```

Values from the calculation:
E_form (uncorrected): -0.871 eV per atom

Entry 2:
Computed, not measured: an optimized crystal structure of Ba2BeAgPt at the PBE-GGA level of DFT.

Geometry as POSCAR:
```
Ba2BeAgPt
1.0
5.925 0.000 0.000
0.000 5.925 0.000
0.000 0.000 4.376
Ba Be Ag Pt
2 1 1 1
direct
0.000 0.500 0.000 Ba
0.500 0.000 0.000 Ba
0.000 0.000 0.000 Be
0.000 0.000 0.500 Ag
0.500 0.500 0.500 Pt
```

Values from the calculation:
energy above the most stable polymorph in this dataset: 0.360 eV per atom
ΔE_f: 10 kJ per mole of atoms

Entry 3:
Computed, not measured: an optimized crystal structure of NpZnC at the PBE-GGA level of DFT.

Geometry as POSCAR:
```
NpZnC
1.0
4.024 0.000 0.000
0.000 4.024 0.000
0.000 0.000 6.388
Np Zn C
2 2 2
direct
0.250 0.250 0.165 Np
0.750 0.750 0.835 Np
0.250 0.250 0.632 Zn
0.750 0.750 0.368 Zn
0.250 0.750 0.000 C
0.750 0.250 0.000 C
```

Values from the calculation:
ΔE_f: 31 kJ per mole of atoms

Entry 4:
Computed, not measured: an optimized crystal structure of KTiS3 at the PBE-GGA level of DFT.

Geometry as POSCAR:
```
KTiS3
1.0
5.120 0.000 0.000
0.000 5.120 0.000
0.000 0.000 5.120
K Ti S
1 1 3
direct
0.000 0.000 0.000 K
0.500 0.500 0.500 Ti
0.000 0.000 0.500 S
0.000 0.500 0.000 S
0.500 0.000 0.000 S
```

Values from the calculation:
E_form (uncorrected): 1.269 eV per atom
energy above the most stable polymorph in this dataset: 2.418 eV per atom

Entry 5:
Computed, not measured: an optimized crystal structure of MoHRh2Br at the PBE-GGA level of DFT.

Geometry as POSCAR:
```
MoHRh2Br
1.0
4.921 0.000 0.000
0.000 4.921 0.000
0.000 0.000 3.008
Mo H Rh Br
1 1 2 1
direct
0.000 0.000 0.000 Mo
0.500 0.500 0.000 H
0.000 0.500 0.500 Rh
0.500 0.000 0.500 Rh
0.500 0.500 0.500 Br
```

Values from the calculation:
energy: -25.477 eV per cell

Entry 6:
Computed, not measured: an optimized crystal structure of LiDy3Ge3 at the PBE-GGA level of DFT.

Geometry as POSCAR:
```
LiDy3Ge3
1.0
5.404 -2.145 0.000
5.404 2.145 0.000
-4.799 0.000 13.071
Li Dy Ge
2 6 6
direct
0.242 0.242 0.407 Li
0.758 0.758 0.593 Li
0.254 0.254 0.777 Dy
0.400 0.400 0.078 Dy
0.470 0.470 0.620 Dy
0.530 0.530 0.380 Dy
0.600 0.600 0.922 Dy
0.746 0.746 0.223 Dy
0.035 0.035 0.232 Ge
0.123 0.123 0.076 Ge
0.127 0.127 0.551 Ge
0.873 0.873 0.449 Ge
0.877 0.877 0.924 Ge
0.965 0.965 0.768 Ge
```

Values from the calculation:
ΔE_f: -74 kJ per mole of atoms

Entry 7:
Computed, not measured: an optimized crystal structure of CsZnPd2 at the PBE-GGA level of DFT.

Geometry as POSCAR:
```
CsZnPd2
1.0
5.321 0.000 0.000
0.000 5.321 0.000
0.000 0.000 16.968
Cs Zn Pd
4 4 8
direct
0.000 0.000 0.000 Cs
0.000 0.500 0.250 Cs
0.500 0.000 0.750 Cs
0.500 0.500 0.500 Cs
0.000 0.000 0.500 Zn
0.000 0.500 0.750 Zn
0.500 0.000 0.250 Zn
0.500 0.500 0.000 Zn
0.045 0.250 0.625 Pd
0.250 0.545 0.875 Pd
0.250 0.955 0.375 Pd
0.455 0.250 0.125 Pd
0.545 0.750 0.125 Pd
0.750 0.045 0.375 Pd
0.750 0.455 0.875 Pd
0.955 0.750 0.625 Pd
```

Values from the calculation:
ΔE_f: 3 kJ per mole of atoms

Entry 8:
Computed, not measured: an optimized crystal structure of HfNb2Sb at the PBE-GGA level of DFT.

Geometry as POSCAR:
```
HfNb2Sb
1.0
4.490 0.000 0.000
0.000 3.583 0.000
-2.243 0.000 10.068
Hf Nb Sb
2 4 2
direct
0.194 0.250 0.384 Hf
0.806 0.750 0.616 Hf
0.060 0.750 0.120 Nb
0.445 0.750 0.889 Nb
0.555 0.250 0.111 Nb
0.940 0.250 0.880 Nb
0.335 0.250 0.673 Sb
0.665 0.750 0.327 Sb
```

Values from the calculation:
E_form (uncorrected): -0.289 eV per atom